# 1
## CePm2ThCo2 (PBE)

Data for a relaxed structure of CePm2ThCo2.

Structure (extended XYZ):
```
12
Lattice="6.976 0.000 0.000 0.000 7.015 0.000 -3.488 -3.507 6.185" Properties=species:S:1:pos:R:3 pbc="T T T"
Ce 5.232 3.507 0.000
Ce 1.744 3.507 0.000
Pm 3.488 4.958 2.485
Pm 0.000 2.057 2.485
Pm 3.488 1.450 3.699
Pm 0.000 -1.450 3.699
Th 1.744 0.000 0.000
Th 5.232 0.000 0.000
Co 0.000 1.641 5.210
Co 3.488 1.867 0.975
Co 0.000 5.148 0.975
Co 3.488 -1.641 5.210
```

The density of states at the Fermi level comes out at 0.9018 states/eV/atom. The formation energy is -0.145 eV/atom. The magnetization is 0.003 μB/cell. The total energy comes out at -37.9 eV per formula unit. The theoretical density comes out at 8.56 Mg/m³. As for the space group: Ibam. Its volume is 303 Å³/cell.

---

# 2
## Ce2PmTlCo (PBE)

Data for a relaxed structure of Ce2PmTlCo.

Structure (extended XYZ):
```
5
Lattice="4.963 0.000 0.000 0.000 4.963 0.000 0.000 0.000 5.627" Properties=species:S:1:pos:R:3 pbc="T T T"
Ce 0.000 2.482 5.627
Ce 2.482 4.964 5.627
Pm 0.000 4.963 2.813
Tl 2.482 2.482 2.816
Co 0.000 0.000 5.627
```

The density of states at the Fermi level comes out at 1.8421 states/eV/atom. The formation energy is -0.206 eV/atom. The magnetization is 0.784 μB/cell. The total energy comes out at -27.1 eV per formula unit. The theoretical density comes out at 8.25 Mg/m³. As for the space group: P4/mmm. Its volume is 139 Å³/cell.

---

# 3
## Ce3Pr2Co2 (PBE)

Data for a relaxed structure of Ce3Pr2Co2.

Structure (extended XYZ):
```
7
Lattice="-3.097 1.746 -0.870 -3.465 0.216 5.067 1.004 7.655 4.093" Properties=species:S:1:pos:R:3 pbc="T T T"
Ce -1.549 0.873 -0.435
Ce -3.561 4.116 5.540
Ce -1.997 5.501 2.750
Pr -1.923 1.938 3.037
Pr -3.635 7.679 5.253
Co -2.997 6.392 8.099
Co -2.561 3.225 0.191
```

The density of states at the Fermi level comes out at 1.5526 states/eV/atom. The formation energy is -0.128 eV/atom. The magnetization is 0.000 μB/cell. The total energy comes out at -42.5 eV per formula unit. The theoretical density comes out at 7.81 Mg/m³. As for the space group: C2/m. Its volume is 174 Å³/cell.

---

# 4
## CePr2Co (PBE)

Data for a relaxed structure of CePr2Co.

Structure (extended XYZ):
```
4
Lattice="3.671 0.000 0.000 1.835 3.179 0.000 1.835 1.060 10.484" Properties=species:S:1:pos:R:3 pbc="T T T"
Pr 1.835 1.060 6.975
Pr 5.506 3.179 3.509
Co 3.671 2.119 5.242
Ce 0.000 0.000 0.000
```

The density of states at the Fermi level comes out at 2.1473 states/eV/atom. The formation energy is 0.287 eV/atom. The magnetization is 1.814 μB/cell. The total energy comes out at -21.5 eV per formula unit. The theoretical density comes out at 6.53 Mg/m³. As for the space group: R-3m. Its volume is 122 Å³/cell.

---

# 5
## CePrCo4 (PBE)

Data for a relaxed structure of CePrCo4.

Structure (extended XYZ):
```
6
Lattice="-4.360 2.350 -1.122 -4.433 -2.308 0.900 -3.019 1.666 3.728" Properties=species:S:1:pos:R:3 pbc="T T T"
Pr -2.953 0.427 0.877
Co -5.873 0.232 0.321
Co -5.163 2.228 1.741
Co -7.389 1.069 2.194
Co -5.200 -0.111 2.757
Ce 0.000 0.000 0.000
```

The density of states at the Fermi level comes out at 1.4930 states/eV/atom. The formation energy is -0.093 eV/atom. The magnetization is 0.977 μB/cell. The total energy comes out at -39.7 eV per formula unit. The theoretical density comes out at 9.26 Mg/m³. As for the space group: F-43m. Its volume is 93 Å³/cell.

---

# 6
## CePrCo (PBE)

Data for a relaxed structure of CePrCo.

Structure (extended XYZ):
```
3
Lattice="3.489 0.000 0.000 0.000 3.489 0.000 -1.744 -1.744 5.733" Properties=species:S:1:pos:R:3 pbc="T T T"
Pr 0.000 0.000 0.129
Co 1.744 1.744 2.235
Ce 0.000 0.000 3.369
```

The density of states at the Fermi level comes out at 1.5154 states/eV/atom. The formation energy is -0.002 eV/atom. The magnetization is 0.001 μB/cell. The total energy comes out at -17.8 eV per formula unit. The theoretical density comes out at 8.09 Mg/m³. As for the space group: I4mm. Its volume is 70 Å³/cell.

---

# 7
## CePr3Co (PBE)

Data for a relaxed structure of CePr3Co.

Structure (extended XYZ):
```
5
Lattice="-1.983 4.787 1.805 -0.207 -2.009 5.102 5.112 1.776 0.907" Properties=species:S:1:pos:R:3 pbc="T T T"
Pr -0.103 -1.005 2.551
Pr 2.556 0.888 0.453
Pr -0.992 2.393 0.903
Co 0.000 0.000 0.000
Ce 1.461 2.277 3.907
```

The density of states at the Fermi level comes out at 2.2021 states/eV/atom. The formation energy is 0.181 eV/atom. The magnetization is 3.046 μB/cell. The total energy comes out at -26.5 eV per formula unit. The theoretical density comes out at 6.25 Mg/m³. As for the space group: Pm-3m. Its volume is 165 Å³/cell.

---

# 8
## CePrCo (PBE)

Data for a relaxed structure of CePrCo.

Structure (extended XYZ):
```
3
Lattice="-3.093 3.608 -0.477 -4.241 -0.185 2.190 -0.902 2.877 3.704" Properties=species:S:1:pos:R:3 pbc="T T T"
Pr 0.000 0.000 0.000
Co -2.059 1.575 1.354
Ce -4.118 3.150 2.709
```

The density of states at the Fermi level comes out at 2.1756 states/eV/atom. The formation energy is 0.096 eV/atom. The magnetization is 0.999 μB/cell. The total energy comes out at -17.5 eV per formula unit. The theoretical density comes out at 7.33 Mg/m³. As for the space group: F-43m. Its volume is 77 Å³/cell.